DFT (PBE) results for a relaxed structure of Er2PO.

Results
Total DFT energy (no corrections), eV/atom: -6.78
E_form (uncorrected), meV per atom: -1909
Energy above the lowest structure with this stoichiometry, meV per atom: 217.9

a = 6.7875 Å, b = 6.7875 Å, c = 6.7875 Å
α = 30.77°, β = 30.77°, γ = 30.77°
With the nearest neighbours (Å) after each atom.
Positions (direct):
Er (0.0000, 0.0000, 0.0000)  3 P 2.66, 3 O 2.68
Er (0.1616, 0.1616, 0.1616)  3 O 2.53, 3 P 2.66
P (0.5808, 0.5808, 0.5808)  6 Er 2.66
O (0.7536, 0.7536, 0.7536)  6 Er 2.53-2.68